# 1
Material: Dy3ErPt
Method: DFT, PBE
State: optimized geometry

The structure belongs to space group P2_1/m (No. 11); the cell edges are 6.370, 5.125 and 8.708 Å and the angles 90.00°, 97.06° and 90.00°. The distinct sites, in fractional coordinates, are Dy at (0.175, 0.250, 0.021), Dy at (0.215, 0.250, 0.442), Dy at (0.276, 0.750, 0.761), Er at (0.388, 0.750, 0.212) and Pt at (0.030, 0.250, 0.711).

The calculated formation energy comes out at -0.474 eV per atom.

=====

# 2
Material: Dy2ErPt2
Method: DFT, PBE
State: optimized geometry

The structure belongs to space group P4/mbm (No. 127); the cell edges are 7.686, 7.686 and 3.996 Å and the angles 90.00°, 90.00° and 90.00°. The distinct sites, in fractional coordinates, are Dy at (0.161, 0.339, 0.000), Er at (0.000, 0.000, 0.500) and Pt at (0.140, 0.640, 0.500).

The calculated formation energy comes out at -1.084 eV per atom.

=====

no.,M_tot (μB per cell)
1,0.00
2,0.00